Entry from Alexandria via LeMat-Bulk: LiVF5 at its PBEsol-relaxed geometry (meta-GGA SCAN).

Values from the calculation:
formation energy without anion corrections = -3094.6 meV/atom
ΔE to the lowest computed polymorph = 0 meV/atom

The structure in CIF format:
```
data_LiVF5
_symmetry_space_group_name_H-M 'P 1'
_symmetry_Int_Tables_number 1
_symmetry_space_group_name_Hall 'P 1'
_cell_length_a 5.211
_cell_length_b 5.211
_cell_length_c 7.434
_cell_angle_alpha 111.30
_cell_angle_beta 111.30
_cell_angle_gamma 76.94
loop_
_atom_site_label
_atom_site_type_symbol
_atom_site_fract_x
_atom_site_fract_y
_atom_site_fract_z
Li1 Li 0.045 0.955 0.750
Li2 Li 0.955 0.045 0.250
V1 V 0.500 0.500 0.000
V2 V 0.500 0.500 0.500
F1 F 0.202 0.751 0.536
F2 F 0.221 0.281 0.868
F3 F 0.249 0.798 0.964
F4 F 0.281 0.221 0.368
F5 F 0.441 0.559 0.250
F6 F 0.559 0.441 0.750
F7 F 0.719 0.779 0.632
F8 F 0.751 0.202 0.036
F9 F 0.779 0.719 0.132
F10 F 0.798 0.249 0.464
```



Entry from Alexandria via LeMat-Bulk: Li2VF7 at its PBEsol-relaxed geometry (meta-GGA SCAN).

Values from the calculation:
formation energy without anion corrections = -2951.1 meV/atom

The structure in CIF format:
```
data_Li2VF7
_symmetry_space_group_name_H-M 'P 1'
_symmetry_Int_Tables_number 1
_symmetry_space_group_name_Hall 'P 1'
_cell_length_a 6.820
_cell_length_b 6.726
_cell_length_c 10.067
_cell_angle_alpha 90.00
_cell_angle_beta 90.00
_cell_angle_gamma 90.00
loop_
_atom_site_label
_atom_site_type_symbol
_atom_site_fract_x
_atom_site_fract_y
_atom_site_fract_z
Li1 Li 0.143 0.250 0.236
Li2 Li 0.176 0.750 0.998
Li3 Li 0.324 0.250 0.498
Li4 Li 0.357 0.750 0.736
Li5 Li 0.643 0.250 0.264
Li6 Li 0.676 0.750 0.502
Li7 Li 0.824 0.250 0.002
Li8 Li 0.857 0.750 0.764
V1 V 0.202 0.750 0.436
V2 V 0.298 0.250 0.936
V3 V 0.702 0.750 0.064
V4 V 0.798 0.250 0.564
F1 F 0.038 0.250 0.491
F2 F 0.049 0.250 0.882
F3 F 0.115 0.750 0.823
F4 F 0.136 0.563 0.323
F5 F 0.136 0.937 0.323
F6 F 0.227 0.063 0.057
F7 F 0.227 0.437 0.057
F8 F 0.273 0.563 0.557
F9 F 0.273 0.937 0.557
F10 F 0.364 0.063 0.823
F11 F 0.364 0.437 0.823
F12 F 0.385 0.250 0.323
F13 F 0.451 0.750 0.382
F14 F 0.462 0.750 0.991
F15 F 0.538 0.250 0.009
F16 F 0.549 0.250 0.618
F17 F 0.615 0.750 0.677
F18 F 0.636 0.563 0.177
F19 F 0.636 0.937 0.177
F20 F 0.727 0.063 0.443
F21 F 0.727 0.437 0.443
F22 F 0.773 0.563 0.943
F23 F 0.773 0.937 0.943
F24 F 0.864 0.063 0.677
F25 F 0.864 0.437 0.677
F26 F 0.885 0.250 0.177
F27 F 0.951 0.750 0.118
F28 F 0.962 0.750 0.509
```



Entry from Alexandria via LeMat-Bulk: LiVF3 at its PBEsol-relaxed geometry (meta-GGA SCAN).

Values from the calculation:
formation energy without anion corrections = -2984.9 meV/atom
ΔE to the lowest computed polymorph = 77 meV/atom

The structure in CIF format:
```
data_LiVF3
_symmetry_space_group_name_H-M 'P 1'
_symmetry_Int_Tables_number 1
_symmetry_space_group_name_Hall 'P 1'
_cell_length_a 7.057
_cell_length_b 7.057
_cell_length_c 5.629
_cell_angle_alpha 109.65
_cell_angle_beta 109.65
_cell_angle_gamma 79.96
loop_
_atom_site_label
_atom_site_type_symbol
_atom_site_fract_x
_atom_site_fract_y
_atom_site_fract_z
Li1 Li 0.124 0.266 0.162
Li2 Li 0.266 0.124 0.662
Li3 Li 0.734 0.876 0.338
Li4 Li 0.876 0.734 0.838
V1 V 0.236 0.764 0.250
V2 V 0.405 0.595 0.750
V3 V 0.595 0.405 0.250
V4 V 0.764 0.236 0.750
F1 F 0.062 0.224 0.801
F2 F 0.146 0.651 0.845
F3 F 0.224 0.062 0.301
F4 F 0.314 0.476 0.330
F5 F 0.349 0.854 0.655
F6 F 0.476 0.314 0.830
F7 F 0.524 0.686 0.170
F8 F 0.651 0.146 0.345
F9 F 0.686 0.524 0.670
F10 F 0.776 0.938 0.699
F11 F 0.854 0.349 0.155
F12 F 0.938 0.776 0.199
```



Entry from Alexandria via LeMat-Bulk: Li2V2F7 at its PBEsol-relaxed geometry (meta-GGA SCAN).

Values from the calculation:
formation energy without anion corrections = -3121.7 meV/atom
ΔE to the lowest computed polymorph = 13 meV/atom

The structure in CIF format:
```
data_Li2V2F7
_symmetry_space_group_name_H-M 'P 1'
_symmetry_Int_Tables_number 1
_symmetry_space_group_name_Hall 'P 1'
_cell_length_a 5.195
_cell_length_b 6.720
_cell_length_c 8.544
_cell_angle_alpha 71.35
_cell_angle_beta 74.79
_cell_angle_gamma 85.07
loop_
_atom_site_label
_atom_site_type_symbol
_atom_site_fract_x
_atom_site_fract_y
_atom_site_fract_z
Li1 Li 0.123 0.033 0.247
Li2 Li 0.335 0.763 0.908
Li3 Li 0.665 0.237 0.092
Li4 Li 0.877 0.967 0.753
V1 V 0.191 0.491 0.328
V2 V 0.297 0.287 0.809
V3 V 0.703 0.713 0.191
V4 V 0.809 0.509 0.672
F1 F 0.075 0.219 0.366
F2 F 0.081 0.621 0.109
F3 F 0.178 0.016 0.818
F4 F 0.189 0.414 0.580
F5 F 0.325 0.780 0.293
F6 F 0.358 0.190 0.038
F7 F 0.434 0.573 0.780
F8 F 0.566 0.427 0.220
F9 F 0.642 0.810 0.962
F10 F 0.675 0.220 0.707
F11 F 0.811 0.586 0.420
F12 F 0.822 0.984 0.182
F13 F 0.919 0.379 0.891
F14 F 0.925 0.781 0.634
```



Entry from Alexandria via LeMat-Bulk: Li4V2F9 at its PBEsol-relaxed geometry (meta-GGA SCAN).

Values from the calculation:
formation energy without anion corrections = -3153.0 meV/atom

The structure in CIF format:
```
data_Li4V2F9
_symmetry_space_group_name_H-M 'P 1'
_symmetry_Int_Tables_number 1
_symmetry_space_group_name_Hall 'P 1'
_cell_length_a 5.034
_cell_length_b 5.034
_cell_length_c 13.631
_cell_angle_alpha 90.00
_cell_angle_beta 90.00
_cell_angle_gamma 120.00
loop_
_atom_site_label
_atom_site_type_symbol
_atom_site_fract_x
_atom_site_fract_y
_atom_site_fract_z
Li1 Li 0.333 0.667 0.176
Li2 Li 0.333 0.667 0.482
Li3 Li 0.333 0.667 0.676
Li4 Li 0.333 0.667 0.982
Li5 Li 0.667 0.333 0.018
Li6 Li 0.667 0.333 0.324
Li7 Li 0.667 0.333 0.518
Li8 Li 0.667 0.333 0.824
V1 V 0.000 0.000 0.153
V2 V 0.000 0.000 0.347
V3 V 0.000 0.000 0.653
V4 V 0.000 0.000 0.847
F1 F 0.000 0.313 0.250
F2 F 0.000 0.687 0.750
F3 F 0.023 0.350 0.584
F4 F 0.023 0.673 0.084
F5 F 0.313 0.000 0.250
F6 F 0.313 0.313 0.750
F7 F 0.327 0.350 0.084
F8 F 0.327 0.977 0.584
F9 F 0.350 0.023 0.916
F10 F 0.350 0.327 0.416
F11 F 0.650 0.673 0.584
F12 F 0.650 0.977 0.084
F13 F 0.673 0.023 0.416
F14 F 0.673 0.650 0.916
F15 F 0.687 0.000 0.750
F16 F 0.687 0.687 0.250
F17 F 0.977 0.327 0.916
F18 F 0.977 0.650 0.416
```



Entry from Alexandria via LeMat-Bulk: Li4VF8 at its PBEsol-relaxed geometry (meta-GGA SCAN).

Values from the calculation:
formation energy without anion corrections = -3082.8 meV/atom

The structure in CIF format:
```
data_Li4VF8
_symmetry_space_group_name_H-M 'P 1'
_symmetry_Int_Tables_number 1
_symmetry_space_group_name_Hall 'P 1'
_cell_length_a 9.257
_cell_length_b 9.224
_cell_length_c 5.547
_cell_angle_alpha 90.00
_cell_angle_beta 90.00
_cell_angle_gamma 90.00
loop_
_atom_site_label
_atom_site_type_symbol
_atom_site_fract_x
_atom_site_fract_y
_atom_site_fract_z
Li1 Li 0.107 0.080 0.128
Li2 Li 0.107 0.420 0.128
Li3 Li 0.131 0.064 0.618
Li4 Li 0.131 0.436 0.618
Li5 Li 0.369 0.564 0.118
Li6 Li 0.369 0.936 0.118
Li7 Li 0.393 0.580 0.628
Li8 Li 0.393 0.920 0.628
Li9 Li 0.607 0.080 0.372
Li10 Li 0.607 0.420 0.372
Li11 Li 0.631 0.064 0.882
Li12 Li 0.631 0.436 0.882
Li13 Li 0.869 0.564 0.382
Li14 Li 0.869 0.936 0.382
Li15 Li 0.893 0.580 0.872
Li16 Li 0.893 0.920 0.872
V1 V 0.134 0.750 0.374
V2 V 0.366 0.250 0.874
V3 V 0.634 0.750 0.126
V4 V 0.866 0.250 0.626
F1 F 0.023 0.620 0.157
F2 F 0.023 0.880 0.157
F3 F 0.025 0.625 0.595
F4 F 0.025 0.875 0.595
F5 F 0.228 0.250 0.125
F6 F 0.234 0.250 0.618
F7 F 0.236 0.540 0.375
F8 F 0.236 0.960 0.375
F9 F 0.264 0.040 0.875
F10 F 0.264 0.460 0.875
F11 F 0.266 0.750 0.118
F12 F 0.272 0.750 0.625
F13 F 0.475 0.125 0.095
F14 F 0.475 0.375 0.095
F15 F 0.477 0.120 0.657
F16 F 0.477 0.380 0.657
F17 F 0.523 0.620 0.343
F18 F 0.523 0.880 0.343
F19 F 0.525 0.625 0.905
F20 F 0.525 0.875 0.905
F21 F 0.728 0.250 0.375
F22 F 0.734 0.250 0.882
F23 F 0.736 0.540 0.125
F24 F 0.736 0.960 0.125
F25 F 0.764 0.040 0.625
F26 F 0.764 0.460 0.625
F27 F 0.766 0.750 0.382
F28 F 0.772 0.750 0.875
F29 F 0.975 0.125 0.405
F30 F 0.975 0.375 0.405
F31 F 0.977 0.120 0.843
F32 F 0.977 0.380 0.843
```